Record 1
# Zr2AlMo, relaxed, DFT PBE
data_Zr2AlMo
_space_group_name_H-M_alt 'C m m m'
_space_group_IT_number 65
_space_group_name_Hall '-C 2 2'
_cell_length_a 3.514
_cell_length_b 4.871
_cell_length_c 9.040
_cell_angle_alpha 90.00
_cell_angle_beta 90.00
_cell_angle_gamma 90.00
loop_
_atom_site_label
_atom_site_type_symbol
_atom_site_fract_x
_atom_site_fract_y
_atom_site_fract_z
Zr1 Zr 0.000 0.000 0.239
Al1 Al 0.000 0.500 0.500
Mo1 Mo 0.000 0.500 0.000
# Fermi-level density of states in states/eV/atom: 0.92
# Total magnetic moment in μB per cell: 0.00
# DFT formation energy in eV/atom: -0.093
# Electronic total energy in eV for the cell shown: -64.1

=====

Record 2
# ZrAlMo2, relaxed, DFT PBE
data_ZrAlMo2
_space_group_name_H-M_alt 'R 3 m'
_space_group_IT_number 160
_space_group_name_Hall 'R 3 -2"'
_cell_length_a 3.0766
_cell_length_b 3.0766
_cell_length_c 26.3489
_cell_angle_alpha 90.00
_cell_angle_beta 90.00
_cell_angle_gamma 120.00
loop_
_atom_site_label
_atom_site_type_symbol
_atom_site_fract_x
_atom_site_fract_y
_atom_site_fract_z
Zr1 Zr 0.0000 0.0000 0.0000
Al1 Al 0.0000 0.0000 0.2388
Mo1 Mo 0.0000 0.0000 0.4911
Mo2 Mo 0.0000 0.0000 0.7518
# Fermi-level density of states in states/eV/atom: 0.54
# Total magnetic moment in μB per cell: 0.00
# DFT formation energy in eV/atom: 0.100
# Electronic total energy in eV for the cell shown: -100.7

=====

Record 3
# ZrAl2Mo2, relaxed, DFT PBE
data_ZrAl2Mo2
_space_group_name_H-M_alt 'P 4/m b m'
_space_group_IT_number 127
_space_group_name_Hall '-P 4 2ab'
_cell_length_a 7.931
_cell_length_b 7.931
_cell_length_c 2.738
_cell_angle_alpha 90.00
_cell_angle_beta 90.00
_cell_angle_gamma 90.00
loop_
_atom_site_label
_atom_site_type_symbol
_atom_site_fract_x
_atom_site_fract_y
_atom_site_fract_z
Zr1 Zr 0.000 0.000 0.000
Al1 Al 0.180 0.320 0.500
Mo1 Mo 0.116 0.616 0.000
# Fermi-level density of states in states/eV/atom: 0.69
# Total magnetic moment in μB per cell: 0.00
# DFT formation energy in eV/atom: -0.069
# Electronic total energy in eV for the cell shown: -76.1

=====

Record 4
# ZrAl2Mo2, relaxed, DFT PBE
data_ZrAl2Mo2
_space_group_name_H-M_alt 'I 4/m m m'
_space_group_IT_number 139
_space_group_name_Hall '-I 4 2'
_cell_length_a 3.770
_cell_length_b 3.770
_cell_length_c 12.792
_cell_angle_alpha 90.00
_cell_angle_beta 90.00
_cell_angle_gamma 90.00
loop_
_atom_site_label
_atom_site_type_symbol
_atom_site_fract_x
_atom_site_fract_y
_atom_site_fract_z
Zr1 Zr 0.000 0.000 0.000
Al1 Al 0.000 0.500 0.250
Mo1 Mo 0.000 0.000 0.402
# Fermi-level density of states in states/eV/atom: 1.18
# Total magnetic moment in μB per cell: 0.00
# DFT formation energy in eV/atom: 0.215
# Electronic total energy in eV for the cell shown: -73.2

=====

Record 5
# Zr4Al3Mo, relaxed, DFT PBE
data_Zr4Al3Mo
_space_group_name_H-M_alt 'P 4/m m m'
_space_group_IT_number 123
_space_group_name_Hall '-P 4 2'
_cell_length_a 3.498
_cell_length_b 3.498
_cell_length_c 12.578
_cell_angle_alpha 90.00
_cell_angle_beta 90.00
_cell_angle_gamma 90.00
loop_
_atom_site_label
_atom_site_type_symbol
_atom_site_fract_x
_atom_site_fract_y
_atom_site_fract_z
Zr1 Zr 0.000 0.000 0.122
Zr2 Zr 0.000 0.000 0.377
Al1 Al 0.500 0.500 0.248
Al2 Al 0.500 0.500 0.500
Mo1 Mo 0.500 0.500 0.000
# Fermi-level density of states in states/eV/atom: 0.77
# Total magnetic moment in μB per cell: 0.00
# DFT formation energy in eV/atom: -0.321
# Electronic total energy in eV for the cell shown: -58.8

=====

Record 6
# ZrAlMo2, relaxed, DFT PBE
data_ZrAlMo2
_space_group_name_H-M_alt 'I 4/m m m'
_space_group_IT_number 139
_space_group_name_Hall '-I 4 2'
_cell_length_a 3.913
_cell_length_b 3.913
_cell_length_c 9.076
_cell_angle_alpha 90.00
_cell_angle_beta 90.00
_cell_angle_gamma 90.00
loop_
_atom_site_label
_atom_site_type_symbol
_atom_site_fract_x
_atom_site_fract_y
_atom_site_fract_z
Zr1 Zr 0.000 0.000 0.000
Al1 Al 0.000 0.000 0.500
Mo1 Mo 0.000 0.500 0.250
# Fermi-level density of states in states/eV/atom: 0.69
# Total magnetic moment in μB per cell: 0.00
# DFT formation energy in eV/atom: 0.008
# Electronic total energy in eV for the cell shown: -67.8

=====

Record 7
# ZrAlMo2, relaxed, DFT PBE
data_ZrAlMo2
_space_group_name_H-M_alt 'C m m m'
_space_group_IT_number 65
_space_group_name_Hall '-C 2 2'
_cell_length_a 5.608
_cell_length_b 9.004
_cell_length_c 2.737
_cell_angle_alpha 90.00
_cell_angle_beta 90.00
_cell_angle_gamma 90.00
loop_
_atom_site_label
_atom_site_type_symbol
_atom_site_fract_x
_atom_site_fract_y
_atom_site_fract_z
Zr1 Zr 0.000 0.000 0.000
Al1 Al 0.000 0.500 0.000
Mo1 Mo 0.250 0.250 0.500
# Fermi-level density of states in states/eV/atom: 0.82
# Total magnetic moment in μB per cell: 0.00
# DFT formation energy in eV/atom: 0.106
# Electronic total energy in eV for the cell shown: -67.1

=====

Record 8
# Zr2AlMo, relaxed, DFT PBE
data_Zr2AlMo
_space_group_name_H-M_alt 'P 1 2/m 1'
_space_group_IT_number 10
_cell_length_a 2.962
_cell_length_b 4.404
_cell_length_c 6.008
_cell_angle_alpha 90.00
_cell_angle_beta 101.21
_cell_angle_gamma 90.00
loop_
_space_group_symop_operation_xyz
'x,y,z'
'-x,-y,-z'
'-x,y,-z'
'x,-y,z'
loop_
_atom_site_label
_atom_site_type_symbol
_atom_site_fract_x
_atom_site_fract_y
_atom_site_fract_z
Zr1 Zr 0.117 0.000 0.258
Al1 Al 0.500 0.500 0.000
Mo1 Mo 0.500 0.500 0.500
# Fermi-level density of states in states/eV/atom: 0.73
# Total magnetic moment in μB per cell: 0.00
# DFT formation energy in eV/atom: -0.135
# Electronic total energy in eV for the cell shown: -32.2

=====

Q: What is the formula in the seventh record?
A: ZrAlMo2

=====

Q: What is the electronic total energy in the seventh record?
A: -67.1 eV for the cell shown

=====

Q: The lowest Fermi-level density of states belongs to which entry?
A: number 2